Entry 1:
A geometry-optimized ZrGe structure, computed with GGA-PBE.

```
ZrGe
1.0
-1.9602 -2.7999 -1.9550
-0.7000 -1.7951 3.2727
-4.6459 2.8536 0.5715
Ge Zr
2 2
Direct
0.6663 0.5000 0.0000
0.1671 0.0000 0.5000
0.1664 0.0000 0.0000
0.6670 0.5000 0.5000
```

Its space group is No. 71. For the spin magnetization, the calculation gives 0.000 μB/f.u. The value obtained for the total DFT energy (no corrections) is -7.3255 eV per atom.



Entry 2:
A geometry-optimized HfH2 structure, computed with GGA-PBE.

```
HfH2
1.0
-3.4453 -2.3612 1.5280
-0.7724 -0.2311 4.3738
-3.5203 2.0801 1.7495
H Hf
4 2
Direct
0.6250 0.6250 0.1250
0.6250 0.1250 0.6250
0.1250 0.6250 0.6250
0.6250 0.6250 0.6250
0.0000 0.0000 0.0000
0.2500 0.2500 0.2500
```

Its space group is No. 227. For the spin magnetization, the calculation gives 1.142 μB/f.u. The value obtained for the total DFT energy (no corrections) is -4.6815 eV per atom.



Entry 3:
A geometry-optimized HfH2 structure, computed with GGA-PBE.

```
HfH2
1.0
1.1912 -2.6759 -1.3942
-2.5337 -0.4712 1.9701
-1.3738 2.1277 -2.0270
H Hf
2 1
Direct
0.5000 0.7500 0.2500
0.5000 0.2500 0.7500
0.0000 0.0000 0.0000
```

Its space group is No. 139. For the spin magnetization, the calculation gives 0.000 μB/f.u. The value obtained for the total DFT energy (no corrections) is -6.0584 eV per atom.



Entry 4:
A geometry-optimized HfH4 structure, computed with GGA-PBE.

```
HfH4
1.0
3.6764 0.0000 0.0000
0.0000 3.3899 0.0000
-2.3291 0.0000 5.0155
H Hf
8 2
Direct
0.3798 0.2809 0.0536
0.1954 0.7770 0.1502
0.8046 0.7770 0.3498
0.6202 0.2809 0.4464
0.3798 0.7191 0.5536
0.1954 0.2230 0.6502
0.8046 0.2230 0.8498
0.6202 0.7191 0.9464
0.0000 0.2774 0.2500
0.0000 0.7226 0.7500
```

Its space group is No. 13. For the spin magnetization, the calculation gives 0.000 μB/f.u. The value obtained for the total DFT energy (no corrections) is -4.8348 eV per atom.



Entry 5:
A geometry-optimized Li2HfH6O6 structure, computed with GGA-PBE.

```
Li2HfH6O6
1.0
2.7345 1.5788 4.5823
-2.7345 1.5788 4.5823
0.0000 -3.1576 4.5823
H Hf Li O
6 1 2 6
Direct
0.3236 0.6690 0.0546
0.6690 0.0546 0.3236
0.9454 0.6764 0.3310
0.0546 0.3236 0.6690
0.3310 0.9454 0.6764
0.6764 0.3310 0.9454
0.5000 0.5000 0.5000
0.1673 0.1673 0.1673
0.8327 0.8327 0.8327
0.4154 0.7427 0.1000
0.9000 0.5846 0.2573
0.7427 0.1000 0.4154
0.2573 0.9000 0.5846
0.1000 0.4154 0.7427
0.5846 0.2573 0.9000
```

Its space group is No. 148. For the spin magnetization, the calculation gives 0.000 μB/f.u. The value obtained for the total DFT energy (no corrections) is -5.9398 eV per atom.



Entry 6:
A geometry-optimized Na3HfH6 structure, computed with GGA-PBE.

```
Na3HfH6
1.0
1.5987 -4.4976 3.0251
-3.2728 -1.8868 4.2028
-2.7594 -4.9008 -0.5498
H Hf Na
6 1 3
Direct
0.7584 0.2416 0.2416
0.2416 0.7584 0.2416
0.7584 0.7584 0.2416
0.7584 0.2416 0.7584
0.2416 0.7584 0.7584
0.2416 0.2416 0.7584
0.0000 0.0000 0.0000
0.2500 0.2500 0.2500
0.5000 0.5000 0.5000
0.7500 0.7500 0.7500
```

Its space group is No. 225. For the spin magnetization, the calculation gives 0.561 μB/f.u. The value obtained for the total DFT energy (no corrections) is -3.4691 eV per atom.



Entry 7:
A geometry-optimized Na2HfH6O6 structure, computed with GGA-PBE.

```
Na2HfH6O6
1.0
5.7558 0.0000 0.0000
-2.8779 4.9846 0.0000
0.0000 0.0000 4.5085
H Hf Na O
6 1 2 6
Direct
0.3576 0.1453 0.4295
0.8547 0.2123 0.4295
0.7877 0.6424 0.4295
0.2123 0.3576 0.5705
0.1453 0.7877 0.5705
0.6424 0.8547 0.5705
0.0000 0.0000 0.0000
0.3333 0.6667 0.0574
0.6667 0.3333 0.9426
0.3126 0.0240 0.2571
0.9760 0.2886 0.2571
0.7114 0.6874 0.2571
0.2886 0.3126 0.7429
0.0240 0.7114 0.7429
0.6874 0.9760 0.7429
```

Its space group is No. 147. For the spin magnetization, the calculation gives 0.000 μB/f.u. The value obtained for the total DFT energy (no corrections) is -5.8227 eV per atom.



Entry 8:
A geometry-optimized HfNbH4 structure, computed with GGA-PBE.

```
HfNbH4
1.0
-2.3619 2.2960 -0.1814
-0.6418 -0.9056 -3.1066
-3.0322 -3.0026 1.5031
H Hf Nb
4 1 1
Direct
0.9999 0.5001 0.2586
0.5001 0.9999 0.2586
0.4999 0.0001 0.7414
0.0001 0.4999 0.7414
0.0000 0.0000 0.0000
0.5000 0.5000 0.5000
```

Its space group is No. 123. For the spin magnetization, the calculation gives 0.000 μB/f.u. The value obtained for the total DFT energy (no corrections) is -5.9464 eV per atom.



Entry 9:
A geometry-optimized Hf2H2Os structure, computed with GGA-PBE.

```
Hf2H2Os
1.0
-1.5905 1.5905 6.0306
1.5905 -1.5905 6.0306
1.5905 1.5905 -6.0306
H Hf Os
2 2 1
Direct
0.7500 0.2500 0.5000
0.2500 0.7500 0.5000
0.3619 0.3619 0.0000
0.6381 0.6381 0.0000
0.0000 0.0000 0.0000
```

Its space group is No. 139. For the spin magnetization, the calculation gives 0.001 μB/f.u. The value obtained for the total DFT energy (no corrections) is -8.1827 eV per atom.



Entry 10:
A geometry-optimized HfPH structure, computed with GGA-PBE.

```
HfPH
1.0
3.5261 0.0000 0.0000
-1.7630 3.0537 0.0000
0.0000 0.0000 3.4710
H Hf P
1 1 1
Direct
0.0000 0.0000 0.0000
0.3333 0.6667 0.0000
0.6667 0.3333 0.5000
```

Its space group is No. 187. For the spin magnetization, the calculation gives 0.000 μB/f.u. The value obtained for the total DFT energy (no corrections) is -7.2463 eV per atom.



Entry 11:
A geometry-optimized HfHPt structure, computed with GGA-PBE.

```
HfHPt
1.0
3.4511 0.0000 0.0000
0.0000 3.4511 0.0000
0.0000 0.0000 6.5530
H Hf Pt
2 2 2
Direct
0.0000 0.0000 0.0000
0.5000 0.5000 0.0000
0.5000 0.0000 0.1820
0.0000 0.5000 0.8180
0.0000 0.5000 0.3777
0.5000 0.0000 0.6223
```

Its space group is No. 129. For the spin magnetization, the calculation gives 0.001 μB/f.u. The value obtained for the total DFT energy (no corrections) is -7.3056 eV per atom.



Entry 12:
A geometry-optimized Pu2HfH6 structure, computed with GGA-PBE.

```
Pu2HfH6
1.0
5.5361 -2.6812 0.0000
5.5361 2.6812 0.0000
-1.0329 0.0000 3.2474
H Hf Pu
6 1 2
Direct
0.9397 0.3763 0.1556
0.3763 0.9397 0.1556
0.7910 0.2090 0.5000
0.2090 0.7910 0.5000
0.6237 0.0603 0.8444
0.0603 0.6237 0.8444
0.0000 0.0000 0.0000
0.3435 0.3435 0.3459
0.6565 0.6565 0.6541
```

Its space group is No. 12. For the spin magnetization, the calculation gives 10.788 μB/f.u. The value obtained for the total DFT energy (no corrections) is -6.9391 eV per atom.



Entry 13:
A geometry-optimized Hf2ReH2 structure, computed with GGA-PBE.

```
Hf2ReH2
1.0
-0.1418 4.6440 4.1709
-2.4306 5.7427 0.3101
-0.6544 -6.0634 -1.3377
H Hf Re
2 2 1
Direct
0.7500 0.2500 0.5000
0.2500 0.7500 0.5000
0.3620 0.3620 0.0000
0.6380 0.6380 0.0000
0.0000 0.0000 0.0000
```

Its space group is No. 139. For the spin magnetization, the calculation gives 0.000 μB/f.u. The value obtained for the total DFT energy (no corrections) is -8.2802 eV per atom.



Entry 14:
A geometry-optimized HfH2S structure, computed with GGA-PBE.

```
HfH2S
1.0
-4.5947 0.1381 -1.1732
-3.6760 -2.9932 -0.1877
-4.1971 -0.5580 2.1401
H Hf S
2 1 1
Direct
0.1413 0.1413 0.1413
0.4393 0.4393 0.4393
0.8338 0.8338 0.8338
0.6297 0.6297 0.6297
```

Its space group is No. 160. For the spin magnetization, the calculation gives 0.000 μB/f.u. The value obtained for the total DFT energy (no corrections) is -6.0876 eV per atom.



Entry 15:
A geometry-optimized HfSbH structure, computed with GGA-PBE.

```
HfSbH
1.0
-2.9351 -2.0291 1.1259
2.8887 0.5544 2.3125
-1.7302 3.2673 1.3780
H Hf Sb
1 1 1
Direct
0.0000 0.0000 0.0000
0.6667 0.3333 0.0000
0.3333 0.6667 0.5000
```

Its space group is No. 187. For the spin magnetization, the calculation gives 0.000 μB/f.u. The value obtained for the total DFT energy (no corrections) is -6.3388 eV per atom.



Entry 16:
A geometry-optimized Hf2ScH6 structure, computed with GGA-PBE.

```
Hf2ScH6
1.0
5.1746 -2.4130 0.0000
5.1746 2.4130 0.0000
-1.0148 0.0000 3.1002
H Hf Sc
6 2 1
Direct
0.9164 0.4194 0.1678
0.4194 0.9164 0.1678
0.7440 0.2560 0.5000
0.2560 0.7440 0.5000
0.5806 0.0836 0.8322
0.0836 0.5806 0.8322
0.3334 0.3334 0.3337
0.6666 0.6666 0.6663
0.0000 0.0000 0.0000
```

Its space group is No. 12. For the spin magnetization, the calculation gives 0.001 μB/f.u. The value obtained for the total DFT energy (no corrections) is -5.7353 eV per atom.



Entry 17:
A geometry-optimized HfH2Se structure, computed with GGA-PBE.

```
HfH2Se
1.0
1.7307 0.9992 4.5682
-1.7307 0.9992 4.5682
0.0000 -1.9984 4.5682
H Hf Se
2 1 1
Direct
0.5580 0.5580 0.5580
0.8575 0.8575 0.8575
0.1691 0.1691 0.1691
0.3713 0.3713 0.3713
```

Its space group is No. 160. For the spin magnetization, the calculation gives 0.000 μB/f.u. The value obtained for the total DFT energy (no corrections) is -5.8122 eV per atom.



Entry 18:
A geometry-optimized Hf2SiH structure, computed with GGA-PBE.

```
Hf2SiH
1.0
3.2596 3.2596 2.7094
3.2596 -3.2596 -2.7094
-3.2596 3.2596 -2.7094
H Hf Si
2 4 2
Direct
0.5000 0.7500 0.2500
0.5000 0.2500 0.7500
0.5000 0.3359 0.1641
0.1718 0.8359 0.3359
0.8282 0.1641 0.6641
0.5000 0.6641 0.8359
0.0000 0.2500 0.2500
0.0000 0.7500 0.7500
```

Its space group is No. 140. For the spin magnetization, the calculation gives 0.000 μB/f.u. The value obtained for the total DFT energy (no corrections) is -7.9010 eV per atom.



Entry 19:
A geometry-optimized HfTeH2 structure, computed with GGA-PBE.

```
HfTeH2
1.0
1.7821 1.0289 4.9584
-1.7821 1.0289 4.9584
0.0000 -2.0578 4.9584
H Hf Te
2 1 1
Direct
0.5549 0.5549 0.5549
0.8561 0.8561 0.8561
0.1730 0.1730 0.1730
0.3718 0.3718 0.3718
```

Its space group is No. 160. For the spin magnetization, the calculation gives 0.000 μB/f.u. The value obtained for the total DFT energy (no corrections) is -5.4802 eV per atom.



Entry 20:
A geometry-optimized Hf2ZrH6 structure, computed with GGA-PBE.

```
Hf2ZrH6
1.0
-4.6092 -1.2466 2.7530
-4.5251 -2.3778 -2.0609
1.7567 -2.6714 0.6585
H Hf Zr
6 2 1
Direct
0.9141 0.4225 0.1693
0.4225 0.9141 0.1693
0.7420 0.2580 0.5000
0.2580 0.7420 0.5000
0.5775 0.0859 0.8307
0.0859 0.5775 0.8307
0.3323 0.3323 0.3334
0.6677 0.6677 0.6666
0.0000 0.0000 0.0000
```

Its space group is No. 12. For the spin magnetization, the calculation gives 0.000 μB/f.u. The value obtained for the total DFT energy (no corrections) is -5.9272 eV per atom.